[1]
Below is a relaxed MnCdSe2 crystal, with properties calculated at the PBE level.

Output
**Space group**: I-42d, No. 122
**Total moment**: 0.00 μB per formula unit
**ΔE_f (raw)**: -0.32 eV/f.u.

Cell and atoms, written as CIF:
```
data_MnCdSe2
_space_group_name_H-M_alt 'P 1'
_space_group_IT_number 1
_space_group_name_Hall 'P 1'
_cell_length_a 5.916
_cell_length_b 5.916
_cell_length_c 6.900
_cell_angle_alpha 64.62
_cell_angle_beta 64.62
_cell_angle_gamma 90.00
loop_
_atom_site_label
_atom_site_fract_x
_atom_site_fract_y
_atom_site_fract_z
_atom_site_occupancy
Cd1 0.750 0.250 0.500 1
Cd2 0.000 0.000 0.000 1
Se1 0.564 0.125 0.250 1
Se2 0.375 0.436 0.750 1
Se3 0.186 0.625 0.250 1
Se4 0.875 0.814 0.750 1
Mn1 0.250 0.750 0.500 1
Mn2 0.500 0.500 0.000 1
```


[2]
Below is a relaxed Mn2CdSe crystal, with properties calculated at the PBE level.

Output
**Space group**: Amm2, No. 38
**Total moment**: 6.57 μB per formula unit
**ΔE_f (raw)**: 0.93 eV/f.u.

Cell and atoms, written as CIF:
```
data_Mn2CdSe
_space_group_name_H-M_alt 'P 1'
_space_group_IT_number 1
_space_group_name_Hall 'P 1'
_cell_length_a 4.485
_cell_length_b 3.112
_cell_length_c 5.434
_cell_angle_alpha 73.39
_cell_angle_beta 90.00
_cell_angle_gamma 90.00
loop_
_atom_site_label
_atom_site_fract_x
_atom_site_fract_y
_atom_site_fract_z
_atom_site_occupancy
Mn1 0.500 0.426 0.273 1
Mn2 0.000 0.042 0.040 1
Se1 0.000 0.351 0.423 1
Cd1 0.500 0.681 0.764 1
```


[3]
Below is a relaxed MnCdSe2 crystal, with properties calculated at the PBE level.

Output
**Space group**: C2/m, No. 12
**Total moment**: 4.86 μB per formula unit
**ΔE_f (raw)**: -0.43 eV/f.u.

Cell and atoms, written as CIF:
```
data_MnCdSe2
_space_group_name_H-M_alt 'P 1'
_space_group_IT_number 1
_space_group_name_Hall 'P 1'
_cell_length_a 5.625
_cell_length_b 5.625
_cell_length_c 4.245
_cell_angle_alpha 63.58
_cell_angle_beta 63.58
_cell_angle_gamma 82.41
loop_
_atom_site_label
_atom_site_fract_x
_atom_site_fract_y
_atom_site_fract_z
_atom_site_occupancy
Cd1 0.500 0.000 0.500 1
Se1 0.500 0.500 0.000 1
Se2 0.000 0.000 0.000 1
Mn1 0.000 0.500 0.500 1
```


[4]
Below is a relaxed MnCdSe2 crystal, with properties calculated at the PBE level.

Output
**Space group**: Cm, No. 8
**Total moment**: 3.34 μB per formula unit
**ΔE_f (raw)**: -1.08 eV/f.u.

Cell and atoms, written as CIF:
```
data_MnCdSe2
_space_group_name_H-M_alt 'P 1'
_space_group_IT_number 1
_space_group_name_Hall 'P 1'
_cell_length_a 6.438
_cell_length_b 6.438
_cell_length_c 4.707
_cell_angle_alpha 77.17
_cell_angle_beta 77.17
_cell_angle_gamma 32.41
loop_
_atom_site_label
_atom_site_fract_x
_atom_site_fract_y
_atom_site_fract_z
_atom_site_occupancy
Se1 0.958 0.958 0.075 1
Se2 0.716 0.716 0.576 1
Mn1 0.324 0.324 0.291 1
Cd1 0.502 0.502 0.558 1
```


[5]
Below is a relaxed MnCdSe2 crystal, with properties calculated at the PBE level.

Output
**Space group**: R3m, No. 160
**Total moment**: 5.00 μB per formula unit
**ΔE_f (raw)**: -2.01 eV/f.u.

Cell and atoms, written as CIF:
```
data_MnCdSe2
_space_group_name_H-M_alt 'P 1'
_space_group_IT_number 1
_space_group_name_Hall 'P 1'
_cell_length_a 4.289
_cell_length_b 4.290
_cell_length_c 7.377
_cell_angle_alpha 73.09
_cell_angle_beta 73.08
_cell_angle_gamma 59.99
loop_
_atom_site_label
_atom_site_fract_x
_atom_site_fract_y
_atom_site_fract_z
_atom_site_occupancy
Mn1 0.240 0.685 0.178 1
Se1 0.118 0.563 0.543 1
Se2 0.609 0.054 0.072 1
Cd1 0.737 0.182 0.686 1
```


[6]
Below is a relaxed MnCdSe2 crystal, with properties calculated at the PBE level.

Output
**Space group**: Imm2, No. 44
**Total moment**: 4.79 μB per formula unit
**ΔE_f (raw)**: -1.01 eV/f.u.

Cell and atoms, written as CIF:
```
data_MnCdSe2
_space_group_name_H-M_alt 'P 1'
_space_group_IT_number 1
_space_group_name_Hall 'P 1'
_cell_length_a 7.030
_cell_length_b 7.030
_cell_length_c 7.030
_cell_angle_alpha 150.33
_cell_angle_beta 149.18
_cell_angle_gamma 43.31
loop_
_atom_site_label
_atom_site_fract_x
_atom_site_fract_y
_atom_site_fract_z
_atom_site_occupancy
Mn1 0.205 0.705 0.500 1
Se1 0.053 0.053 0.000 1
Se2 0.786 0.286 0.500 1
Cd1 0.456 0.456 0.000 1
```


[7]
Below is a relaxed MnCdSe2 crystal, with properties calculated at the PBE level.

Output
**Space group**: Cmmm, No. 65
**Total moment**: 1.62 μB per formula unit
**ΔE_f (raw)**: -0.03 eV/f.u.

Cell and atoms, written as CIF:
```
data_MnCdSe2
_space_group_name_H-M_alt 'P 1'
_space_group_IT_number 1
_space_group_name_Hall 'P 1'
_cell_length_a 3.014
_cell_length_b 3.014
_cell_length_c 9.000
_cell_angle_alpha 90.00
_cell_angle_beta 90.00
_cell_angle_gamma 89.90
loop_
_atom_site_label
_atom_site_fract_x
_atom_site_fract_y
_atom_site_fract_z
_atom_site_occupancy
Cd1 0.500 0.500 0.250 1
Se1 0.000 0.000 0.585 1
Se2 0.000 0.000 0.915 1
Mn1 0.500 0.500 0.750 1
```


[8]
Below is a relaxed Mn4CdSe8 crystal, with properties calculated at the PBE level.

Output
**Space group**: F-43m, No. 216
**Total moment**: 13.98 μB per formula unit
**ΔE_f (raw)**: -5.78 eV/f.u.

Cell and atoms, written as CIF:
```
data_Mn4CdSe8
_space_group_name_H-M_alt 'P 1'
_space_group_IT_number 1
_space_group_name_Hall 'P 1'
_cell_length_a 7.536
_cell_length_b 7.536
_cell_length_c 7.536
_cell_angle_alpha 60.00
_cell_angle_beta 60.00
_cell_angle_gamma 60.00
loop_
_atom_site_label
_atom_site_fract_x
_atom_site_fract_y
_atom_site_fract_z
_atom_site_occupancy
Se1 0.173 0.609 0.609 1
Se2 0.133 0.133 0.133 1
Se3 0.133 0.133 0.602 1
Se4 0.609 0.609 0.609 1
Se5 0.609 0.173 0.609 1
Se6 0.133 0.602 0.133 1
Se7 0.602 0.133 0.133 1
Se8 0.609 0.609 0.173 1
Cd1 0.750 0.750 0.750 1
Mn1 0.368 0.368 0.368 1
Mn2 0.368 0.368 0.895 1
Mn3 0.368 0.895 0.368 1
Mn4 0.895 0.368 0.368 1
```


[9]
Below is a relaxed MnCd3Se crystal, with properties calculated at the PBE level.

Output
**Space group**: Pm-3m, No. 221
**Total moment**: 3.92 μB per formula unit
**ΔE_f (raw)**: 2.87 eV/f.u.

Cell and atoms, written as CIF:
```
data_MnCd3Se
_space_group_name_H-M_alt 'P 1'
_space_group_IT_number 1
_space_group_name_Hall 'P 1'
_cell_length_a 5.189
_cell_length_b 5.189
_cell_length_c 5.189
_cell_angle_alpha 90.00
_cell_angle_beta 90.00
_cell_angle_gamma 90.00
loop_
_atom_site_label
_atom_site_fract_x
_atom_site_fract_y
_atom_site_fract_z
_atom_site_occupancy
Cd1 0.000 0.000 0.500 1
Cd2 0.000 0.500 0.000 1
Cd3 0.500 0.000 0.000 1
Mn1 0.000 0.000 0.000 1
Se1 0.500 0.500 0.500 1
```


[10]
Below is a relaxed MnCdSe2 crystal, with properties calculated at the PBE level.

Output
**Space group**: F-43m, No. 216
**Total moment**: 4.45 μB per formula unit
**ΔE_f (raw)**: 1.37 eV/f.u.

Cell and atoms, written as CIF:
```
data_MnCdSe2
_space_group_name_H-M_alt 'P 1'
_space_group_IT_number 1
_space_group_name_Hall 'P 1'
_cell_length_a 4.894
_cell_length_b 4.894
_cell_length_c 4.894
_cell_angle_alpha 60.00
_cell_angle_beta 60.00
_cell_angle_gamma 60.00
loop_
_atom_site_label
_atom_site_fract_x
_atom_site_fract_y
_atom_site_fract_z
_atom_site_occupancy
Cd1 0.500 0.500 0.500 1
Se1 0.000 0.000 0.000 1
Se2 0.750 0.750 0.750 1
Mn1 0.250 0.250 0.250 1
```


[11]
Below is a relaxed Mn2CdSe crystal, with properties calculated at the PBE level.

Output
**Space group**: P4/mmm, No. 123
**Total moment**: 7.60 μB per formula unit
**ΔE_f (raw)**: 0.63 eV/f.u.

Cell and atoms, written as CIF:
```
data_Mn2CdSe
_space_group_name_H-M_alt 'P 1'
_space_group_IT_number 1
_space_group_name_Hall 'P 1'
_cell_length_a 3.374
_cell_length_b 3.374
_cell_length_c 6.081
_cell_angle_alpha 90.00
_cell_angle_beta 90.00
_cell_angle_gamma 90.00
loop_
_atom_site_label
_atom_site_fract_x
_atom_site_fract_y
_atom_site_fract_z
_atom_site_occupancy
Cd1 0.500 0.500 0.750 1
Mn1 0.000 0.000 0.022 1
Mn2 0.000 0.000 0.478 1
Se1 0.500 0.500 0.250 1
```


[12]
Below is a relaxed Mn2CdSe crystal, with properties calculated at the PBE level.

Output
**Space group**: P2/m, No. 10
**Total moment**: 8.04 μB per formula unit
**ΔE_f (raw)**: 1.00 eV/f.u.

Cell and atoms, written as CIF:
```
data_Mn2CdSe
_space_group_name_H-M_alt 'P 1'
_space_group_IT_number 1
_space_group_name_Hall 'P 1'
_cell_length_a 3.694
_cell_length_b 5.598
_cell_length_c 5.492
_cell_angle_alpha 42.69
_cell_angle_beta 90.00
_cell_angle_gamma 90.00
loop_
_atom_site_label
_atom_site_fract_x
_atom_site_fract_y
_atom_site_fract_z
_atom_site_occupancy
Mn1 0.000 0.000 0.000 1
Mn2 0.500 0.500 0.000 1
Cd1 0.000 0.000 0.500 1
Se1 0.500 0.500 0.500 1
```


What did the third record say?
Below is a relaxed MnCdSe2 crystal, with properties calculated at the PBE level.

Output
**Space group**: C2/m, No. 12
**Total moment**: 4.86 μB per formula unit
**ΔE_f (raw)**: -0.43 eV/f.u.

Cell and atoms, written as CIF:
```
data_MnCdSe2
_space_group_name_H-M_alt 'P 1'
_space_group_IT_number 1
_space_group_name_Hall 'P 1'
_cell_length_a 5.625
_cell_length_b 5.625
_cell_length_c 4.245
_cell_angle_alpha 63.58
_cell_angle_beta 63.58
_cell_angle_gamma 82.41
loop_
_atom_site_label
_atom_site_fract_x
_atom_site_fract_y
_atom_site_fract_z
_atom_site_occupancy
Cd1 0.500 0.000 0.500 1
Se1 0.500 0.500 0.000 1
Se2 0.000 0.000 0.000 1
Mn1 0.000 0.500 0.500 1
```


Question: What is the total moment in the eleventh record?
Answer: 7.60 μB per formula unit